The following is a DFT calculation (PBE) of an optimized crystal structure of LiSiPdRh2.

Structure (POSCAR):
```
LiSiPdRh2
1.0
-3.4061 -1.3447 -2.3709
2.2265 -3.5614 -1.1788
-1.5877 -2.1515 3.5012
Si Rh Pd Li
1 2 1 1
direct
0.0000 0.0000 0.0000 Si
0.0000 0.5000 0.0000 Rh
0.5000 0.0000 0.0000 Rh
0.5000 0.5000 0.5000 Pd
0.0000 0.0000 0.5000 Li
```

Properties
Calculated volume: 16.77 Å³ per atom
Symmetry: P4/mmm
ΔE_f (raw): 0.23 eV/atom

The following is a DFT calculation (PBE) of an optimized crystal structure of SrLi2PdRh.

Structure (POSCAR):
```
SrLi2PdRh
1.0
-3.5706 2.8324 -0.9327
-3.4266 -4.1984 0.3683
-0.5289 0.8305 4.5466
Sr Rh Pd Li
1 1 1 2
direct
0.0000 0.5000 0.0000 Sr
0.0000 0.0000 0.0000 Rh
0.5000 0.5000 0.5000 Pd
0.0000 0.0000 0.5000 Li
0.5000 0.0000 0.0000 Li
```

Properties
Calculated volume: 23.51 Å³ per atom
Formation energy: 0.237 eV per atom
Symmetry: P4/mmm

The following is a DFT calculation (PBE) of an optimized crystal structure of LiTbPdRh.

Structure (POSCAR):
```
LiTbPdRh
1.0
-1.9588 -2.8614 1.5041
2.4577 0.0598 3.3143
-2.7024 2.8761 1.9521
Li Tb Pd Rh
1 1 1 1
direct
0.0000 0.0000 0.0000 Li
0.0000 0.5000 0.5000 Tb
0.5000 0.5000 0.0000 Pd
0.5000 0.0000 0.5000 Rh
```

Properties
Calculated volume: 17.17 Å³ per atom
Energy above the lowest structure with this stoichiometry: 0.00 eV/f.u.
Formation energy: -0.631 eV per atom
Symmetry: Pmmm

The following is a DFT calculation (PBE) of an optimized crystal structure of LiTbPdRh.

Structure (POSCAR):
```
LiTbPdRh
1.0
-2.6824 -3.7271 -0.5371
1.8890 -4.0627 -1.1407
0.1576 -3.4275 3.0988
Rh Tb Pd Li
1 1 1 1
direct
0.2500 0.2500 0.2500 Rh
0.5000 0.5000 0.5000 Tb
0.7500 0.7500 0.7500 Pd
0.0000 0.0000 0.0000 Li
```

Properties
Calculated volume: 17.47 Å³ per atom
Energy above the lowest structure with this stoichiometry: 0.15 eV/f.u.
Formation energy: -0.594 eV per atom
Symmetry: F-43m

The following is a DFT calculation (PBE) of an optimized crystal structure of LiTePdRh.

Structure (POSCAR):
```
LiTePdRh
1.0
4.4845 0.0000 0.0000
2.2423 3.8837 0.0000
2.2423 1.2946 3.6616
Te Rh Pd Li
1 1 1 1
direct
0.2500 0.2500 0.2500 Te
0.0000 0.0000 0.0000 Rh
0.5000 0.5000 0.5000 Pd
0.7500 0.7500 0.7500 Li
```

Properties
Calculated volume: 15.94 Å³ per atom
Symmetry: F-43m
ΔE_f (raw): -0.39 eV/atom

The following is a DFT calculation (PBE) of an optimized crystal structure of LiTlPdRh.

Structure (POSCAR):
```
LiTlPdRh
1.0
4.4999 0.0000 0.0000
2.2499 3.8970 0.0000
2.2499 1.2990 3.6742
Tl Rh Pd Li
1 1 1 1
direct
0.0000 0.0000 0.0000 Tl
0.2500 0.2500 0.2500 Rh
0.7500 0.7500 0.7500 Pd
0.5000 0.5000 0.5000 Li
```

Properties
Calculated volume: 16.11 Å³ per atom
Formation energy: -0.235 eV per atom
Symmetry: F-43m